Record 1
The following is a DFT calculation (PBE) of crystalline YInFeAu at its relaxed geometry.

Cell and atoms, written as POSCAR:
```
YInFeAu
1.0
0.000 3.397 3.397
3.397 0.000 3.397
3.397 3.397 0.000
Au Fe In Y
1 1 1 1
direct
0.500 0.500 0.500 Au
0.750 0.750 0.750 Fe
0.000 0.000 0.000 In
0.250 0.250 0.250 Y
```

Total magnetization ... 0.6759 μB/atom
Space group ... F-43m, No. 216
Energy above the lowest structure with this stoichiometry ... 56.9 meV per atom



Record 2
The following is a DFT calculation (PBE) of crystalline FeSbIrAu at its relaxed geometry.

Cell and atoms, written as POSCAR:
```
FeSbIrAu
1.0
0.000 3.214 3.214
3.214 0.000 3.214
3.214 3.214 0.000
Au Fe Ir Sb
1 1 1 1
direct
0.500 0.500 0.500 Au
0.750 0.750 0.750 Fe
0.250 0.250 0.250 Ir
0.000 0.000 0.000 Sb
```

Total magnetization ... 0.6811 μB/atom
Space group ... F-43m, No. 216
Energy above the lowest structure with this stoichiometry ... 0.0 meV per atom



Record 3
The following is a DFT calculation (PBE) of crystalline FeSnIrAu at its relaxed geometry.

Cell and atoms, written as POSCAR:
```
FeSnIrAu
1.0
2.220 -3.348 -2.085
-2.303 -3.398 -1.906
-0.174 -0.367 -4.508
Au Fe Ir Sn
1 1 1 1
direct
0.500 0.500 0.500 Au
0.750 0.750 0.750 Fe
0.250 0.250 0.250 Ir
0.000 0.000 0.000 Sn
```

Total magnetization ... 0.6676 μB/atom
Space group ... F-43m, No. 216
Energy above the lowest structure with this stoichiometry ... 0.0 meV per atom



Record 4
The following is a DFT calculation (PBE) of crystalline TlFeIrAu at its relaxed geometry.

Cell and atoms, written as POSCAR:
```
TlFeIrAu
1.0
0.000 3.234 3.234
3.234 0.000 3.234
3.234 3.234 0.000
Au Fe Ir Tl
1 1 1 1
direct
0.500 0.500 0.500 Au
0.750 0.750 0.750 Fe
0.250 0.250 0.250 Ir
0.000 0.000 0.000 Tl
```

Total magnetization ... 0.7829 μB/atom
Space group ... F-43m, No. 216
Energy above the lowest structure with this stoichiometry ... 0.0 meV per atom



Record 5
The following is a DFT calculation (PBE) of crystalline ZnFeIrAu at its relaxed geometry.

Cell and atoms, written as POSCAR:
```
ZnFeIrAu
1.0
-3.053 -0.475 -3.118
-3.127 3.041 -0.492
0.027 2.627 -3.516
Au Fe Ir Zn
1 1 1 1
direct
0.250 0.250 0.250 Au
0.750 0.750 0.750 Fe
0.500 0.500 0.500 Ir
0.000 0.000 0.000 Zn
```

Total magnetization ... 0.7798 μB/atom
Space group ... F-43m, No. 216
Energy above the lowest structure with this stoichiometry ... 0.0 meV per atom



Record 6
The following is a DFT calculation (PBE) of crystalline KFeAuS3 at its relaxed geometry.

Cell and atoms, written as POSCAR:
```
KFeAuS3
1.0
-0.206 -2.774 -2.223
-5.511 -4.790 6.488
-6.132 4.344 -2.002
Au Fe K S
2 2 2 6
direct
0.586 0.000 0.173 Au
0.414 0.500 0.827 Au
0.000 0.250 0.000 Fe
0.000 0.750 0.000 Fe
0.730 0.500 0.459 K
0.270 0.000 0.541 K
0.051 0.500 0.103 S
0.600 0.238 0.200 S
0.600 0.762 0.200 S
0.400 0.262 0.800 S
0.400 0.738 0.800 S
0.949 0.000 0.897 S
```

Total magnetization ... 0.3742 μB/atom
Space group ... Cmcm, No. 63
E ... -53.37 eV per cell



Record 7
The following is a DFT calculation (PBE) of crystalline KFeAuSeS2 at its relaxed geometry.

Cell and atoms, written as POSCAR:
```
KFeAuSeS2
1.0
5.751 5.006 -3.387
-7.648 -2.973 1.507
-0.921 6.279 7.717
Au Fe K S Se
2 2 2 4 2
direct
0.108 0.892 0.250 Au
0.892 0.108 0.750 Au
0.500 0.500 0.000 Fe
0.500 0.500 0.500 Fe
0.780 0.220 0.250 K
0.220 0.780 0.750 K
0.097 0.903 0.017 S
0.097 0.903 0.483 S
0.903 0.097 0.517 S
0.903 0.097 0.983 S
0.452 0.548 0.250 Se
0.548 0.452 0.750 Se
```

Total magnetization ... 0.3048 μB/atom
Space group ... Cmcm, No. 63
E ... -52.61 eV per cell



Record 8
The following is a DFT calculation (PBE) of crystalline KFeTeAuS2 at its relaxed geometry.

Cell and atoms, written as POSCAR:
```
KFeTeAuS2
1.0
1.713 -8.344 0.000
1.713 8.344 0.000
0.000 0.000 10.240
Au Fe K S Te
2 2 2 4 2
direct
0.098 0.902 0.250 Au
0.902 0.098 0.750 Au
0.500 0.500 0.000 Fe
0.500 0.500 0.500 Fe
0.761 0.239 0.250 K
0.239 0.761 0.750 K
0.093 0.907 0.021 S
0.093 0.907 0.479 S
0.907 0.093 0.521 S
0.907 0.093 0.979 S
0.441 0.559 0.250 Te
0.559 0.441 0.750 Te
```

Total magnetization ... 0.2215 μB/atom
Space group ... Cmcm, No. 63
E ... -51.73 eV per cell